Model w:
Crystalline RbAl at its relaxed geometry, computed with GGA-PBE.

Unit cell a=6.068 b=12.265 c=4.735 alpha=90.00 beta=90.00 gamma=90.00
Space group Cmcm (No. 63)
Asymmetric unit:
Rb1 0.000 0.151 0.250 [4 per cell]
Al1 0.000 0.464 0.250 [4 per cell]

Properties
ρ, kg/m3: 2120


Model x:
Crystalline RbAl at its relaxed geometry, computed with GGA-PBE.

Unit cell a=11.905 b=6.484 c=4.678 alpha=90.00 beta=113.03 gamma=90.00
Space group C2/m (No. 12)
Asymmetric unit:
Rb1 0.158 0.000 0.405 [4 per cell]
Al1 0.043 0.500 0.793 [4 per cell]

Properties
ρ, kg/m3: 2248


Of all the structures shown, which is most stable? model x, and model w is the least stable.